Record 1
# SrCuTe (GGA-PBE, relaxed)
# - Energy relative to the elements, uncorrected: -436 meV/atom
# - Total magnetization: 0.0 Bohr magnetons per cell
# - Polymorph energy (0 for the lowest one): 266 meV/atom
# - DOS(E_F): 0.723 states/eV per atom
data_SrCuTe
_chemical_formula_sum 'Sr2 Cu2 Te2'
_space_group_name_H-M_alt 'I 4 m m'
_space_group_IT_number 107
_space_group_name_Hall 'I 4 -2'
_cell_length_a 4.4126
_cell_length_b 4.4126
_cell_length_c 9.1852
_cell_angle_alpha 90.00
_cell_angle_beta 90.00
_cell_angle_gamma 90.00
loop_
_atom_site_label
_atom_site_type_symbol
_atom_site_fract_x
_atom_site_fract_y
_atom_site_fract_z
_atom_site_occupancy
Sr1 Sr 0.0000 0.0000 0.0000 1
Cu1 Cu 0.0000 0.0000 0.6522 1
Te1 Te 0.0000 0.0000 0.3692 1

***

Record 2
# Sr3CuTe (GGA-PBE, relaxed)
# - Energy relative to the elements, uncorrected: -369 meV/atom
# - Total magnetization: 0.0 Bohr magnetons per cell
# - Polymorph energy (0 for the lowest one): 0 meV/atom
# - DOS(E_F): 0.630 states/eV per atom
data_Sr3CuTe
_chemical_formula_sum 'Sr3 Cu1 Te1'
_space_group_name_H-M_alt 'P m -3 m'
_space_group_IT_number 221
_space_group_name_Hall '-P 4 2 3'
_cell_length_a 5.8245
_cell_length_b 5.8245
_cell_length_c 5.8245
_cell_angle_alpha 90.00
_cell_angle_beta 90.00
_cell_angle_gamma 90.00
loop_
_atom_site_label
_atom_site_type_symbol
_atom_site_fract_x
_atom_site_fract_y
_atom_site_fract_z
_atom_site_occupancy
Sr1 Sr 0.0000 0.0000 0.5000 1
Cu1 Cu 0.0000 0.0000 0.0000 1
Te1 Te 0.5000 0.5000 0.5000 1

***

Record 3
# Sr2Cu2Te (GGA-PBE, relaxed)
# - Energy relative to the elements, uncorrected: 39 meV/atom
# - Total magnetization: 0.0 Bohr magnetons per cell
# - Polymorph energy (0 for the lowest one): 497 meV/atom
# - DOS(E_F): 1.254 states/eV per atom
data_Sr2Cu2Te
_chemical_formula_sum 'Sr2 Cu2 Te1'
_space_group_name_H-M_alt 'P 4/m m m'
_space_group_IT_number 123
_space_group_name_Hall '-P 4 2'
_cell_length_a 6.2191
_cell_length_b 6.2191
_cell_length_c 4.8526
_cell_angle_alpha 90.00
_cell_angle_beta 90.00
_cell_angle_gamma 90.00
loop_
_atom_site_label
_atom_site_type_symbol
_atom_site_fract_x
_atom_site_fract_y
_atom_site_fract_z
_atom_site_occupancy
Sr1 Sr 0.0000 0.5000 0.0000 1
Cu1 Cu 0.0000 0.0000 0.5000 1
Cu2 Cu 0.5000 0.5000 0.5000 1
Te1 Te 0.0000 0.0000 0.0000 1

***

Record 4
# SrCu2Te (GGA-PBE, relaxed)
# - Energy relative to the elements, uncorrected: -87 meV/atom
# - Total magnetization: 0.0 Bohr magnetons per cell
# - DOS(E_F): 0.405 states/eV per atom
data_SrCu2Te
_chemical_formula_sum 'Sr1 Cu2 Te1'
_space_group_name_H-M_alt 'P m m 2'
_space_group_IT_number 25
_cell_length_a 3.4987
_cell_length_b 3.8462
_cell_length_c 6.9712
_cell_angle_alpha 90.00
_cell_angle_beta 90.00
_cell_angle_gamma 90.00
loop_
_space_group_symop_operation_xyz
'x,y,z'
'-x,-y,z'
'-x,y,z'
'x,-y,z'
loop_
_atom_site_label
_atom_site_type_symbol
_atom_site_fract_x
_atom_site_fract_y
_atom_site_fract_z
_atom_site_occupancy
Sr1 Sr 0.0000 0.0000 0.0000 1
Cu1 Cu 0.0000 0.0000 0.4273 1
Cu2 Cu 0.5000 0.5000 0.3349 1
Te1 Te 0.5000 0.5000 0.7104 1

***

Record 5
# SrCu2Te (GGA-PBE, relaxed)
# - Energy relative to the elements, uncorrected: -338 meV/atom
# - Total magnetization: 0.0 Bohr magnetons per cell
# - DOS(E_F): 0.351 states/eV per atom
data_SrCu2Te
_chemical_formula_sum 'Sr1 Cu2 Te1'
_space_group_name_H-M_alt 'P 1 m 1'
_space_group_IT_number 6
_cell_length_a 4.4402
_cell_length_b 4.2935
_cell_length_c 5.4423
_cell_angle_alpha 90.00
_cell_angle_beta 90.06
_cell_angle_gamma 90.00
loop_
_space_group_symop_operation_xyz
'x,y,z'
'x,-y,z'
loop_
_atom_site_label
_atom_site_type_symbol
_atom_site_fract_x
_atom_site_fract_y
_atom_site_fract_z
_atom_site_occupancy
Sr1 Sr 0.0000 0.0000 0.0000 1
Cu1 Cu 0.4998 0.0000 0.4450 1
Cu2 Cu 0.4999 0.5000 0.2294 1
Te1 Te 0.4997 0.5000 0.7357 1

***

Record 6
# SrCuTe (GGA-PBE, relaxed)
# - Energy relative to the elements, uncorrected: -523 meV/atom
# - Total magnetization: 0.0 Bohr magnetons per cell
# - Polymorph energy (0 for the lowest one): 178 meV/atom
# - DOS(E_F): 0.754 states/eV per atom
data_SrCuTe
_chemical_formula_sum 'Sr4 Cu4 Te4'
_space_group_name_H-M_alt 'F -4 3 m'
_space_group_IT_number 216
_space_group_name_Hall 'F -4 2 3'
_cell_length_a 6.9489
_cell_length_b 6.9489
_cell_length_c 6.9489
_cell_angle_alpha 90.00
_cell_angle_beta 90.00
_cell_angle_gamma 90.00
loop_
_atom_site_label
_atom_site_type_symbol
_atom_site_fract_x
_atom_site_fract_y
_atom_site_fract_z
_atom_site_occupancy
Sr1 Sr 0.0000 0.0000 0.0000 1
Cu1 Cu 0.2500 0.2500 0.2500 1
Te1 Te 0.0000 0.0000 0.5000 1

***

Record 7
# Sr4CuTe (GGA-PBE, relaxed)
# - Energy relative to the elements, uncorrected: 323 meV/atom
# - Total magnetization: 0.0 Bohr magnetons per cell
# - DOS(E_F): 0.926 states/eV per atom
data_Sr4CuTe
_chemical_formula_sum 'Sr16 Cu4 Te4'
_space_group_name_H-M_alt 'F -4 3 m'
_space_group_IT_number 216
_space_group_name_Hall 'F -4 2 3'
_cell_length_a 10.0828
_cell_length_b 10.0828
_cell_length_c 10.0828
_cell_angle_alpha 90.00
_cell_angle_beta 90.00
_cell_angle_gamma 90.00
loop_
_atom_site_label
_atom_site_type_symbol
_atom_site_fract_x
_atom_site_fract_y
_atom_site_fract_z
_atom_site_occupancy
Sr1 Sr 0.1246 0.1246 0.1246 1
Cu1 Cu 0.0000 0.0000 0.5000 1
Te1 Te 0.2500 0.2500 0.7500 1

***

Record 8
# SrCuTe4 (GGA-PBE, relaxed)
# - Energy relative to the elements, uncorrected: 49 meV/atom
# - Total magnetization: 0.0 Bohr magnetons per cell
# - DOS(E_F): 0.604 states/eV per atom
data_SrCuTe4
_chemical_formula_sum 'Sr4 Cu4 Te16'
_space_group_name_H-M_alt 'F -4 3 m'
_space_group_IT_number 216
_space_group_name_Hall 'F -4 2 3'
_cell_length_a 9.0763
_cell_length_b 9.0763
_cell_length_c 9.0763
_cell_angle_alpha 90.00
_cell_angle_beta 90.00
_cell_angle_gamma 90.00
loop_
_atom_site_label
_atom_site_type_symbol
_atom_site_fract_x
_atom_site_fract_y
_atom_site_fract_z
_atom_site_occupancy
Sr1 Sr 0.0000 0.0000 0.0000 1
Cu1 Cu 0.2500 0.2500 0.2500 1
Te1 Te 0.1240 0.1240 0.6240 1

***

Record 9
# SrCuTe3 (GGA-PBE, relaxed)
# - Energy relative to the elements, uncorrected: 610 meV/atom
# - Total magnetization: 2.1 Bohr magnetons per cell
# - Polymorph energy (0 for the lowest one): 1043 meV/atom
# - DOS(E_F): 1.295 states/eV per atom
data_SrCuTe3
_chemical_formula_sum 'Sr1 Cu1 Te3'
_space_group_name_H-M_alt 'P m -3 m'
_space_group_IT_number 221
_space_group_name_Hall '-P 4 2 3'
_cell_length_a 6.1888
_cell_length_b 6.1888
_cell_length_c 6.1888
_cell_angle_alpha 90.00
_cell_angle_beta 90.00
_cell_angle_gamma 90.00
loop_
_atom_site_label
_atom_site_type_symbol
_atom_site_fract_x
_atom_site_fract_y
_atom_site_fract_z
_atom_site_occupancy
Sr1 Sr 0.0000 0.0000 0.0000 1
Cu1 Cu 0.5000 0.5000 0.5000 1
Te1 Te 0.0000 0.0000 0.5000 1

***

Record 10
# SrCuTe (GGA-PBE, relaxed)
# - Energy relative to the elements, uncorrected: -701 meV/atom
# - Total magnetization: 0.0 Bohr magnetons per cell
# - Polymorph energy (0 for the lowest one): 0 meV/atom
# - DOS(E_F): 0.459 states/eV per atom
data_SrCuTe
_chemical_formula_sum 'Sr1 Cu1 Te1'
_space_group_name_H-M_alt 'P 3 m 1'
_space_group_IT_number 156
_cell_length_a 4.4904
_cell_length_b 4.4904
_cell_length_c 4.5596
_cell_angle_alpha 90.00
_cell_angle_beta 90.00
_cell_angle_gamma 120.00
loop_
_space_group_symop_operation_xyz
'x,y,z'
'-y,x-y,z'
'-x+y,-x,z'
'-y,-x,z'
'-x+y,y,z'
'x,x-y,z'
loop_
_atom_site_label
_atom_site_type_symbol
_atom_site_fract_x
_atom_site_fract_y
_atom_site_fract_z
_atom_site_occupancy
Sr1 Sr 0.0000 0.0000 0.0000 1
Cu1 Cu 0.3333 0.6667 0.5121 1
Te1 Te 0.6667 0.3333 0.4983 1

***

> Look up the total magnetization of the sixth one.

0.0 Bohr magnetons per cell